Entry 1:
Dy11Tl4Cd9: optimized geometry, PBE-GGA.

Lattice parameters (Å, degrees): 3.704 13.508 13.508 109.16 90.00 90.00
Each line ends with the local moment (μB).
Fractional coordinates of all 24 atoms:
Dy  0.000  0.176  0.824  0.02
Dy  0.000  0.764  0.764  0.09
Dy  0.000  0.236  0.236  0.09
Dy  0.000  0.000  0.000  0.01
Dy  0.000  0.938  0.593  0.09
Dy  0.000  0.407  0.062  0.09
Dy  0.000  0.593  0.938  0.09
Dy  0.000  0.645  0.355  0.01
Dy  0.000  0.355  0.645  0.01
Dy  0.000  0.062  0.407  0.09
Dy  0.000  0.824  0.176  0.02
Cd  0.500  0.620  0.145  0.00
Cd  0.500  0.199  0.026  0.00
Cd  0.500  0.855  0.380  0.00
Cd  0.500  0.026  0.199  0.00
Cd  0.500  0.801  0.974  0.00
Cd  0.500  0.145  0.620  0.00
Cd  0.500  0.500  0.500  0.00
Cd  0.500  0.380  0.855  0.00
Cd  0.500  0.974  0.801  0.00
Tl  0.500  0.736  0.561  0.00
Tl  0.500  0.264  0.439  0.00
Tl  0.500  0.561  0.736  0.00
Tl  0.500  0.439  0.264  0.00

Summary:
- DFT formation energy (eV per atom) = -0.29


Entry 2:
La3Y8Tm2: optimized geometry, PBE-GGA.

Lattice parameters (Å, degrees): 7.007 9.577 9.577 57.64 118.94 118.94
Fractional coordinates of all 13 atoms:
Y  0.942  0.587  0.587
Y  0.441  0.559  0.200
Y  0.058  0.413  0.413
Y  0.015  0.806  0.806
Y  0.559  0.441  0.800
Y  0.559  0.800  0.441
Y  0.985  0.194  0.194
Y  0.441  0.200  0.559
Tm  0.501  0.213  0.213
Tm  0.499  0.787  0.787
La  0.000  0.176  0.824
La  0.500  0.000  0.000
La  0.000  0.824  0.176

Summary:
- excess energy over the best structure of this formula in the dataset (eV per formula unit) = 0.00
- DFT formation energy (eV per atom) = 0.25


Entry 3:
BaTl2SnBr6: optimized geometry, PBE-GGA.

Lattice parameters (Å, degrees): 7.962 8.515 11.590 90.00 91.34 90.00
Fractional coordinates of all 20 atoms:
Br  0.140  0.451  0.762
Br  0.669  0.304  0.566
Br  0.860  0.549  0.238
Br  0.831  0.804  0.934
Br  0.360  0.951  0.738
Br  0.331  0.696  0.434
Br  0.806  0.818  0.572
Br  0.194  0.182  0.428
Br  0.306  0.682  0.072
Br  0.694  0.318  0.928
Br  0.640  0.049  0.262
Br  0.169  0.196  0.066
Ba  0.000  0.500  0.500
Ba  0.500  0.000  0.000
Tl  0.531  0.582  0.741
Tl  0.031  0.918  0.241
Tl  0.469  0.418  0.259
Tl  0.969  0.082  0.759
Sn  0.000  0.500  0.000
Sn  0.500  0.000  0.500

Summary:
- formation energy from raw total energies (eV/atom) = -1.217


Entry 4:
NiBPd3: optimized geometry, PBE-GGA.

Lattice parameters (Å, degrees): 4.122 4.122 4.122 90.00 90.00 90.00
Each line ends with the local moment (μB).
Fractional coordinates of all 5 atoms:
Pd  0.000  0.500  0.000  0.01
Pd  0.000  0.000  0.500  0.04
Pd  0.500  0.000  0.000  0.03
Ni  0.500  0.500  0.500  0.89
B  0.000  0.000  0.000  0.01

Summary:
- excess energy over the best structure of this formula in the dataset (eV per formula unit) = 0.00
- DFT formation energy (eV per atom) = 0.08


Entry 5:
Al2Ga9Ag: optimized geometry, PBE-GGA.

Lattice parameters (Å, degrees): 5.138 5.139 8.492 94.41 94.37 81.60
Fractional coordinates of all 12 atoms:
Ga  0.003  0.497  0.833
Ga  0.499  0.499  0.331
Ga  0.498  0.003  0.833
Ga  0.500  0.500  0.000
Ga  0.500  0.000  0.500
Ga  0.502  0.997  0.167
Ga  0.501  0.501  0.669
Ga  0.000  0.500  0.500
Ga  0.997  0.503  0.167
Al  0.999  0.999  0.666
Al  0.001  0.001  0.334
Ag  0.000  0.000  0.000

Summary:
- DFT formation energy (eV per atom) = 0.03


Entry 6:
Hf2ZrVH: optimized geometry, PBE-GGA.

Lattice parameters (Å, degrees): 4.774 4.774 3.640 90.00 90.00 90.00
Each line ends with the local moment (μB).
Fractional coordinates of all 5 atoms:
Hf  0.000  0.500  0.000  -0.05
Hf  0.500  0.000  0.000  -0.05
Zr  0.500  0.500  0.500  -0.25
H  0.000  0.000  0.000  -0.01
V  0.000  0.000  0.500  1.20


Entry 7:
K4Tl3GaO8: optimized geometry, PBE-GGA.

Lattice parameters (Å, degrees): 6.817 7.311 6.819 117.81 119.99 90.00
Fractional coordinates of all 16 atoms:
O  0.215  0.686  0.430
O  0.757  0.686  0.972
O  0.785  0.314  0.570
O  0.267  0.301  0.534
O  0.215  0.686  0.972
O  0.243  0.314  0.028
O  0.785  0.314  0.028
O  0.733  0.699  0.466
Ga  0.000  0.500  0.000
K  0.500  0.000  0.500
K  0.000  0.000  0.000
K  0.500  0.000  0.000
K  0.000  0.000  0.500
Tl  0.000  0.500  0.500
Tl  0.500  0.500  0.500
Tl  0.500  0.500  0.000

Summary:
- formation energy from raw total energies (eV/atom) = -1.168


Entry 8:
PrSmTmTl: optimized geometry, PBE-GGA.

Lattice parameters (Å, degrees): 5.562 5.562 5.562 60.00 60.00 60.00
Each line ends with the local moment (μB).
Fractional coordinates of all 4 atoms:
Pr  0.250  0.250  0.250  0.16
Tl  0.000  0.000  0.000  0.00
Sm  0.750  0.750  0.750  0.17
Tm  0.500  0.500  0.500  0.28

Summary:
- excess energy over the best structure of this formula in the dataset (eV per formula unit) = 0.47
- DFT formation energy (eV per atom) = -0.07


Entry 9:
CuMo2Rh: optimized geometry, PBE-GGA.

Lattice parameters (Å, degrees): 4.398 2.717 4.838 90.02 90.00 90.00
Fractional coordinates of all 4 atoms:
Mo  0.500  0.125  0.287
Mo  0.000  0.125  0.956
Rh  0.000  0.625  0.470
Cu  0.500  0.625  0.787

Summary:
- DFT formation energy (eV per atom) = 0.02


Entry 10:
Rb2TlFeBr6: optimized geometry, PBE-GGA.

Lattice parameters (Å, degrees): 7.845 7.845 7.842 59.99 59.99 90.00
Each line ends with the local moment (μB).
Fractional coordinates of all 10 atoms:
Br  0.721  0.279  0.000  -0.01
Br  0.279  0.279  0.000  -0.01
Br  0.721  0.721  0.000  -0.01
Br  0.279  0.721  0.000  -0.01
Br  0.279  0.279  0.443  -0.01
Br  0.721  0.721  0.557  -0.01
Rb  0.750  0.250  0.500  0.00
Rb  0.250  0.750  0.500  0.00
Tl  0.000  0.000  0.000  -0.02
Fe  0.500  0.500  0.000  1.06

Summary:
- excess energy over the best structure of this formula in the dataset (eV per formula unit) = 0.11
- formation energy from raw total energies (eV/atom) = -0.953


Number 1: E_tot -3.1336 eV/atom. Number 2: E_tot -5.5568 eV/atom. Number 3: E_tot -3.2860 eV/atom. Number 4: E_tot -5.5256 eV/atom. Number 5: E_tot -3.1010 eV/atom. Number 6: E_tot -8.1414 eV/atom. Number 7: E_tot -4.5548 eV/atom. Number 8: E_tot -4.1529 eV/atom. Number 9: E_tot -8.2582 eV/atom. Number 10: E_tot -3.2332 eV/atom.